(1)
Entry from Alexandria via LeMat-Bulk: a relaxed structure of Ge2BiAs2 (PBEsol).

Computed properties:
energy of formation	0.2323	eV/atom
mass density	7.71	g cm⁻³
crystal system	tetragonal
symmetry	I4/mmm

a b c (Å): 7.761 7.761 7.761
angles (deg): 151.16 151.16 41.24
Fractional coordinates of all 5 atoms:
Ge (0.250, 0.750, 0.500)
Ge (0.750, 0.250, 0.500)
Bi (0.000, 0.000, 0.000)
As (0.396, 0.396, 0.000)
As (0.604, 0.604, 0.000)

=====

(2)
Entry from Alexandria via LeMat-Bulk: a relaxed structure of LiTl2 (PBEsol).

Computed properties:
ΔE to the lowest computed polymorph	0.004	eV per atom
energy of formation	-0.1573	eV/atom
mass density	9.84	g cm⁻³
crystal system	cubic
symmetry	Fd-3m

a b c (Å): 9.259 9.259 9.259
angles (deg): 60.00 60.00 60.00
Fractional coordinates of all 24 atoms:
Li (0.138, 0.787, 0.787)
Li (0.213, 0.213, 0.213)
Li (0.213, 0.213, 0.862)
Li (0.213, 0.862, 0.213)
Li (0.787, 0.138, 0.787)
Li (0.787, 0.787, 0.138)
Li (0.787, 0.787, 0.787)
Li (0.862, 0.213, 0.213)
Tl (0.000, 0.000, 0.000)
Tl (0.000, 0.000, 0.500)
Tl (0.000, 0.500, 0.000)
Tl (0.188, 0.188, 0.562)
Tl (0.188, 0.562, 0.188)
Tl (0.188, 0.562, 0.562)
Tl (0.438, 0.438, 0.812)
Tl (0.438, 0.812, 0.438)
Tl (0.438, 0.812, 0.812)
Tl (0.500, 0.000, 0.000)
Tl (0.562, 0.188, 0.188)
Tl (0.562, 0.188, 0.562)
Tl (0.562, 0.562, 0.188)
Tl (0.812, 0.438, 0.438)
Tl (0.812, 0.438, 0.812)
Tl (0.812, 0.812, 0.438)

=====

(3)
Entry from Alexandria via LeMat-Bulk: a relaxed structure of Na2GeRh2 (PBEsol).

Computed properties:
energy of formation	-0.1323	eV/atom
mass density	5.89	g cm⁻³
crystal system	tetragonal
symmetry	P4/mbm

a b c (Å): 6.134 6.134 4.861
angles (deg): 90.00 90.00 90.00
Fractional coordinates of all 10 atoms:
Na (0.169, 0.331, 0.000)
Na (0.331, 0.831, 0.000)
Na (0.669, 0.169, 0.000)
Na (0.831, 0.669, 0.000)
Ge (0.000, 0.000, 0.500)
Ge (0.500, 0.500, 0.500)
Rh (0.144, 0.644, 0.500)
Rh (0.356, 0.144, 0.500)
Rh (0.644, 0.856, 0.500)
Rh (0.856, 0.356, 0.500)

=====

(4)
Entry from Alexandria via LeMat-Bulk: a relaxed structure of ZnGaSb2 (PBEsol).

Computed properties:
formation energy from raw total energies	0.01	eV per atom
mass density	5.67	g cm⁻³
crystal system	tetragonal
symmetry	I-42d

a b c (Å): 7.377 7.377 7.377
angles (deg): 131.30 131.30 71.34
Fractional coordinates of all 8 atoms:
Zn (0.000, 0.000, 0.000)
Zn (0.750, 0.250, 0.500)
Ga (0.250, 0.750, 0.500)
Ga (0.500, 0.500, 0.000)
Sb (0.120, 0.625, 0.995)
Sb (0.375, 0.370, 0.495)
Sb (0.630, 0.125, 0.005)
Sb (0.875, 0.880, 0.505)

=====

(5)
Entry from Alexandria via LeMat-Bulk: a relaxed structure of Zr3ScI (PBEsol).

Computed properties:
ΔE to the lowest computed polymorph	0.427	eV per atom
formation energy from raw total energies	1.10	eV per atom
mass density	5.69	g cm⁻³
crystal system	cubic
symmetry	Pm-3m

a b c (Å): 5.065 5.065 5.065
angles (deg): 90.00 90.00 90.00
Fractional coordinates of all 5 atoms:
Zr (0.000, 0.000, 0.500)
Zr (0.000, 0.500, 0.000)
Zr (0.500, 0.000, 0.000)
Sc (0.000, 0.000, 0.000)
I (0.500, 0.500, 0.500)

=====

(6)
Entry from Alexandria via LeMat-Bulk: a relaxed structure of LiCr3O8 (PBEsol).

Computed properties:
formation energy from raw total energies	-1.85	eV per atom
mass density	3.51	g cm⁻³
crystal system	orthorhombic
symmetry	Pnnm

a b c (Å): 6.183 8.195 5.425
angles (deg): 90.00 90.00 90.00
Fractional coordinates of all 24 atoms:
Li (0.000, 0.000, 0.000)
Li (0.500, 0.500, 0.500)
Cr (0.000, 0.500, 0.500)
Cr (0.228, 0.351, 0.000)
Cr (0.272, 0.851, 0.500)
Cr (0.500, 0.000, 0.000)
Cr (0.728, 0.149, 0.500)
Cr (0.772, 0.649, 0.000)
O (0.018, 0.242, 0.000)
O (0.056, 0.731, 0.500)
O (0.226, 0.470, 0.256)
O (0.226, 0.470, 0.744)
O (0.274, 0.970, 0.244)
O (0.274, 0.970, 0.756)
O (0.444, 0.231, 0.000)
O (0.482, 0.742, 0.500)
O (0.518, 0.258, 0.500)
O (0.556, 0.769, 0.000)
O (0.726, 0.030, 0.244)
O (0.726, 0.030, 0.756)
O (0.774, 0.530, 0.256)
O (0.774, 0.530, 0.744)
O (0.944, 0.269, 0.500)
O (0.982, 0.758, 0.000)

=====

(7)
Entry from Alexandria via LeMat-Bulk: a relaxed structure of SrZr2In (PBEsol).

Computed properties:
energy of formation	0.1506	eV/atom
mass density	6.22	g cm⁻³
crystal system	tetragonal
symmetry	P4/mmm

a b c (Å): 3.200 3.200 10.030
angles (deg): 90.00 90.00 90.00
Fractional coordinates of all 4 atoms:
Sr (0.000, 0.000, 0.000)
Zr (0.500, 0.500, 0.295)
Zr (0.500, 0.500, 0.705)
In (0.000, 0.000, 0.500)

=====

(8)
Entry from Alexandria via LeMat-Bulk: a relaxed structure of KTePI2 (PBEsol).

Computed properties:
formation energy from raw total energies	0.95	eV per atom
mass density	2.81	g cm⁻³
crystal system	tetragonal
symmetry	P4/mmm

a b c (Å): 6.448 6.448 6.409
angles (deg): 90.00 90.00 90.00
Fractional coordinates of all 5 atoms:
K (0.000, 0.000, 0.000)
Te (0.000, 0.000, 0.500)
P (0.500, 0.500, 0.500)
I (0.000, 0.500, 0.000)
I (0.500, 0.000, 0.000)